Record 1
Below is Mg4AlBr after structural relaxation, with properties calculated at the GGA-PBE level.

Geometry as POSCAR:
```
Mg4AlBr
1.0
-5.234 -0.711 2.549
-4.903 1.193 -2.988
-3.526 -4.363 -1.710
Mg Al Br
4 1 1
Cartesian
-7.730 -1.812 0.451
-6.886 -3.617 -1.654
-7.567 -0.872 -2.285
-5.144 -1.461 -0.809
-10.247 -2.911 -1.612
0.000 0.000 0.000
```

Summary:
SG   F-43m (216)
Magnetization   0.0 μB/f.u.
N(E_F)   1.80 states/eV/cell
Electronic total energy   -11.3 eV/cell
Formation energy without anion corrections   0.089 eV per atom

***

Record 2
Below is Pr2NdTe2S2 after structural relaxation, with properties calculated at the GGA-PBE level.

Geometry as POSCAR:
```
Pr2NdTe2S2
1.0
5.244 0.000 0.000
0.000 5.244 0.000
-2.622 -2.622 8.076
Pr Nd Te S
2 1 2 2
Cartesian
0.000 0.000 6.229
2.622 2.622 1.848
0.000 0.000 0.000
0.000 0.000 3.062
2.622 2.622 5.015
0.000 2.622 0.000
2.622 0.000 0.000
```

Summary:
SG   I4/mmm (139)
Magnetization   0.0 μB/f.u.
N(E_F)   2.87 states/eV/cell
Electronic total energy   -38.7 eV/cell
Formation energy without anion corrections   -1.398 eV per atom

***

Record 3
Below is TeMoRu after structural relaxation, with properties calculated at the GGA-PBE level.

Geometry as POSCAR:
```
TeMoRu
1.0
-3.982 -1.748 -0.852
3.319 -2.605 1.354
-0.814 0.455 2.872
Mo Ru Te
1 1 1
Cartesian
-0.777 0.434 2.740
0.538 -2.125 1.845
-2.052 -1.752 1.660
```

Summary:
SG   P3m1 (156)
Magnetization   0.0 μB/f.u.
N(E_F)   2.49 states/eV/cell
Electronic total energy   -22.0 eV/cell
Formation energy without anion corrections   0.406 eV per atom

***

Record 4
Below is ZnTeAs2 after structural relaxation, with properties calculated at the GGA-PBE level.

Geometry as POSCAR:
```
ZnTeAs2
1.0
-4.532 -1.086 2.717
1.623 -1.181 2.235
1.127 4.601 3.719
As Te Zn
2 1 1
Cartesian
0.141 0.461 0.419
-2.143 -0.130 1.729
1.906 1.738 3.874
-0.312 1.974 5.625
```

Summary:
SG   Pm (6)
Magnetization   0.0 μB/f.u.
N(E_F)   1.73 states/eV/cell
Electronic total energy   -13.3 eV/cell
Formation energy without anion corrections   0.102 eV per atom